Entry from Alexandria via LeMat-Bulk: a relaxed MgAgBPb2 crystal (GGA-PBE).

a = 5.484 Å, b = 4.956 Å, c = 5.484 Å
α = 90.00°, β = 90.00°, γ = 90.00°
Atoms (fractional coordinates):
1 Pb 0.000 0.000 0.500
2 Pb 0.500 0.000 0.000
3 Mg 0.000 0.000 0.000
4 B 0.500 0.500 0.500
5 Ag 0.000 0.500 0.000

calculated formation energy	661	kJ/mol of formula units
calculated volume	149	Å³/f.u.
spin magnetization	0.0	μB/f.u.
density	6.209	g/cm3
density of states at the Fermi level	0.85	states/eV per atom